Record 1
# Al2NiAg

A geometry-optimized Al2NiAg structure (PBE, Alexandria).

**Total energy**: -34.032 eV per cell
**D(E_F)**: 2.016 states/eV/cell
**Volume**: 14.553 Å³/atom
**Calculated formation energy**: -225 meV/atom

Cell lengths 3.040, 4.248, 9.017 Å; angles 90.00, 90.00, 90.00 degrees
Positions (direct):
Al1 0.000 0.000 0.000
Al2 0.000 0.500 0.227
Al3 0.500 0.000 0.727
Al4 0.500 0.500 0.500
Ni1 0.000 0.500 0.710
Ni2 0.500 0.000 0.210
Ag1 0.000 0.000 0.459
Ag2 0.500 0.500 0.959



Record 2
# AlNiAg2

A geometry-optimized AlNiAg2 structure (PBE, Alexandria).

**Total energy**: -30.080 eV per cell
**D(E_F)**: 4.506 states/eV/cell
**Volume**: 15.367 Å³/atom
**Calculated formation energy**: 47 meV/atom

Cell lengths 5.483, 7.689, 2.916 Å; angles 90.00, 90.00, 90.00 degrees
Positions (direct):
Al1 0.000 0.000 0.000
Al2 0.500 0.500 0.000
Ni1 0.000 0.500 0.000
Ni2 0.500 0.000 0.000
Ag1 0.250 0.250 0.500
Ag2 0.250 0.750 0.500
Ag3 0.750 0.250 0.500
Ag4 0.750 0.750 0.500



Record 3
# AlNiAg4

A geometry-optimized AlNiAg4 structure (PBE, Alexandria).

**Total energy**: -18.423 eV per cell
**D(E_F)**: 4.360 states/eV/cell
**Volume**: 18.304 Å³/atom
**Calculated formation energy**: 418 meV/atom

Cell lengths 5.375, 5.375, 5.375 Å; angles 60.00, 60.00, 60.00 degrees
Positions (direct):
Al1 0.000 0.000 0.000
Ni1 0.750 0.750 0.750
Ag1 0.375 0.375 0.375
Ag2 0.375 0.375 0.875
Ag3 0.375 0.875 0.375
Ag4 0.875 0.375 0.375



Record 4
# AlNiAg

A geometry-optimized AlNiAg structure (PBE, Alexandria).

**Total energy**: -26.110 eV per cell
**D(E_F)**: 2.282 states/eV/cell
**Volume**: 14.242 Å³/atom
**Calculated formation energy**: -227 meV/atom

Cell lengths 3.025, 3.025, 9.341 Å; angles 90.00, 90.00, 90.00 degrees
Positions (direct):
Al1 0.000 0.000 0.000
Al2 0.500 0.500 0.500
Ni1 0.000 0.000 0.623
Ni2 0.500 0.500 0.123
Ag1 0.000 0.000 0.311
Ag2 0.500 0.500 0.811



Record 5
# Al4NiAg

A geometry-optimized Al4NiAg structure (PBE, Alexandria).

**Total energy**: -22.296 eV per cell
**D(E_F)**: 3.231 states/eV/cell
**Volume**: 16.258 Å³/atom
**Calculated formation energy**: 218 meV/atom

Cell lengths 5.167, 5.167, 5.167 Å; angles 60.00, 60.00, 60.00 degrees
Positions (direct):
Al1 0.125 0.125 0.125
Al2 0.125 0.125 0.626
Al3 0.125 0.626 0.125
Al4 0.626 0.125 0.125
Ni1 0.750 0.750 0.750
Ag1 0.500 0.500 0.500



Record 6
# Al2NiAg

A geometry-optimized Al2NiAg structure (PBE, Alexandria).

**Total energy**: -62.515 eV per cell
**D(E_F)**: 9.182 states/eV/cell
**Volume**: 16.543 Å³/atom
**Calculated formation energy**: 122 meV/atom

Cell lengths 3.918, 3.918, 17.239 Å; angles 90.00, 90.00, 90.00 degrees
Positions (direct):
Al1 0.229 0.250 0.125
Al2 0.250 0.729 0.375
Al3 0.250 0.771 0.875
Al4 0.271 0.250 0.625
Al5 0.729 0.750 0.625
Al6 0.750 0.229 0.875
Al7 0.750 0.271 0.375
Al8 0.771 0.750 0.125
Ni1 0.000 0.000 0.000
Ni2 0.000 0.500 0.250
Ni3 0.500 0.000 0.750
Ni4 0.500 0.500 0.500
Ag1 0.000 0.000 0.500
Ag2 0.000 0.500 0.750
Ag3 0.500 0.000 0.250
Ag4 0.500 0.500 0.000



Record 7
# Al2NiAg

A geometry-optimized Al2NiAg structure (PBE, Alexandria).

**Total energy**: -33.743 eV per cell
**D(E_F)**: 3.499 states/eV/cell
**Volume**: 14.715 Å³/atom
**Calculated formation energy**: -188 meV/atom

Cell lengths 8.489, 2.880, 4.934 Å; angles 90.00, 102.56, 90.00 degrees
Positions (direct):
Al1 0.237 0.000 0.223
Al2 0.263 0.500 0.777
Al3 0.737 0.500 0.223
Al4 0.763 0.000 0.777
Ni1 0.000 0.500 0.000
Ni2 0.500 0.000 0.000
Ag1 0.000 0.000 0.500
Ag2 0.500 0.500 0.500



Record 8
# Al2NiAg2

A geometry-optimized Al2NiAg2 structure (PBE, Alexandria).

**Total energy**: -37.753 eV per cell
**D(E_F)**: 3.337 states/eV/cell
**Volume**: 16.300 Å³/atom
**Calculated formation energy**: 19 meV/atom

Cell lengths 6.216, 6.216, 4.218 Å; angles 90.00, 90.00, 90.00 degrees
Positions (direct):
Al1 0.153 0.347 0.000
Al2 0.347 0.847 0.000
Al3 0.653 0.153 0.000
Al4 0.847 0.653 0.000
Ni1 0.000 0.000 0.000
Ni2 0.500 0.500 0.000
Ag1 0.163 0.663 0.500
Ag2 0.337 0.163 0.500
Ag3 0.663 0.837 0.500
Ag4 0.837 0.337 0.500



Record 9
# Al2NiAg

A geometry-optimized Al2NiAg structure (PBE, Alexandria).

**Total energy**: -65.310 eV per cell
**D(E_F)**: 4.067 states/eV/cell
**Volume**: 14.693 Å³/atom
**Calculated formation energy**: -52 meV/atom

Cell lengths 6.172, 6.172, 6.172 Å; angles 90.00, 90.00, 90.00 degrees
Positions (direct):
Al1 0.000 0.000 0.000
Al2 0.000 0.500 0.500
Al3 0.250 0.250 0.250
Al4 0.250 0.750 0.750
Al5 0.500 0.000 0.500
Al6 0.500 0.500 0.000
Al7 0.750 0.250 0.750
Al8 0.750 0.750 0.250
Ni1 0.000 0.000 0.500
Ni2 0.000 0.500 0.000
Ni3 0.500 0.000 0.000
Ni4 0.500 0.500 0.500
Ag1 0.250 0.250 0.750
Ag2 0.250 0.750 0.250
Ag3 0.750 0.250 0.250
Ag4 0.750 0.750 0.750



Record 10
# AlNi2Ag2

A geometry-optimized AlNi2Ag2 structure (PBE, Alexandria).

**Total energy**: -42.174 eV per cell
**D(E_F)**: 3.592 states/eV/cell
**Volume**: 14.974 Å³/atom
**Calculated formation energy**: -16 meV/atom

Cell lengths 5.985, 5.985, 4.180 Å; angles 90.00, 90.00, 90.00 degrees
Positions (direct):
Al1 0.000 0.000 0.000
Al2 0.500 0.500 0.000
Ni1 0.134 0.366 0.000
Ni2 0.366 0.866 0.000
Ni3 0.634 0.134 0.000
Ni4 0.866 0.634 0.000
Ag1 0.171 0.671 0.500
Ag2 0.329 0.171 0.500
Ag3 0.671 0.829 0.500
Ag4 0.829 0.329 0.500



Record 11
# PaAlNiAg

A geometry-optimized PaAlNiAg structure (PBE, Alexandria).

**Total energy**: -89.152 eV per cell
**D(E_F)**: 14.949 states/eV/cell
**Volume**: 18.568 Å³/atom
**Calculated formation energy**: -104 meV/atom

Cell lengths 6.673, 6.673, 6.673 Å; angles 90.00, 90.00, 90.00 degrees
Positions (direct):
Pa1 0.000 0.000 0.000
Pa2 0.000 0.500 0.500
Pa3 0.500 0.000 0.500
Pa4 0.500 0.500 0.000
Al1 0.000 0.000 0.500
Al2 0.000 0.500 0.000
Al3 0.500 0.000 0.000
Al4 0.500 0.500 0.500
Ni1 0.250 0.250 0.250
Ni2 0.250 0.750 0.750
Ni3 0.750 0.250 0.750
Ni4 0.750 0.750 0.250
Ag1 0.250 0.250 0.750
Ag2 0.250 0.750 0.250
Ag3 0.750 0.250 0.250
Ag4 0.750 0.750 0.750



Record 12
# AlNiAgPd

A geometry-optimized AlNiAgPd structure (PBE, Alexandria).

**Total energy**: -74.892 eV per cell
**D(E_F)**: 8.606 states/eV/cell
**Volume**: 14.555 Å³/atom
**Calculated formation energy**: -289 meV/atom

Cell lengths 6.152, 6.152, 6.152 Å; angles 90.00, 90.00, 90.00 degrees
Positions (direct):
Al1 0.000 0.000 0.000
Al2 0.000 0.500 0.500
Al3 0.500 0.000 0.500
Al4 0.500 0.500 0.000
Ni1 0.250 0.250 0.750
Ni2 0.250 0.750 0.250
Ni3 0.750 0.250 0.250
Ni4 0.750 0.750 0.750
Ag1 0.000 0.000 0.500
Ag2 0.000 0.500 0.000
Ag3 0.500 0.000 0.000
Ag4 0.500 0.500 0.500
Pd1 0.250 0.250 0.250
Pd2 0.250 0.750 0.750
Pd3 0.750 0.250 0.750
Pd4 0.750 0.750 0.250



Record 13
# PmAl3NiAg

A geometry-optimized PmAl3NiAg structure (PBE, Alexandria).

**Total energy**: -53.025 eV per cell
**D(E_F)**: 4.767 states/eV/cell
**Volume**: 18.805 Å³/atom
**Calculated formation energy**: -317 meV/atom

Cell lengths 6.951, 6.951, 5.965 Å; angles 90.00, 90.00, 128.47 degrees
Positions (direct):
Pm1 0.222 0.778 0.750
Pm2 0.778 0.222 0.250
Al1 0.220 0.220 0.000
Al2 0.220 0.220 0.500
Al3 0.367 0.633 0.250
Al4 0.633 0.367 0.750
Al5 0.780 0.780 0.000
Al6 0.780 0.780 0.500
Ni1 0.432 0.568 0.750
Ni2 0.568 0.432 0.250
Ag1 0.153 0.847 0.250
Ag2 0.847 0.153 0.750



Record 14
# PmAlNiAg

A geometry-optimized PmAlNiAg structure (PBE, Alexandria).

**Total energy**: -72.306 eV per cell
**D(E_F)**: 17.642 states/eV/cell
**Volume**: 19.041 Å³/atom
**Calculated formation energy**: -238 meV/atom

Cell lengths 6.729, 6.729, 6.729 Å; angles 90.00, 90.00, 90.00 degrees
Positions (direct):
Pm1 0.000 0.000 0.000
Pm2 0.000 0.500 0.500
Pm3 0.500 0.000 0.500
Pm4 0.500 0.500 0.000
Al1 0.000 0.000 0.500
Al2 0.000 0.500 0.000
Al3 0.500 0.000 0.000
Al4 0.500 0.500 0.500
Ni1 0.250 0.250 0.750
Ni2 0.250 0.750 0.250
Ni3 0.750 0.250 0.250
Ni4 0.750 0.750 0.750
Ag1 0.250 0.250 0.250
Ag2 0.250 0.750 0.750
Ag3 0.750 0.250 0.750
Ag4 0.750 0.750 0.250



Record 15
# PrAl3NiAg

A geometry-optimized PrAl3NiAg structure (PBE, Alexandria).

**Total energy**: -52.995 eV per cell
**D(E_F)**: 5.412 states/eV/cell
**Volume**: 19.175 Å³/atom
**Calculated formation energy**: -310 meV/atom

Cell lengths 6.967, 6.967, 6.033 Å; angles 90.00, 90.00, 128.21 degrees
Positions (direct):
Pr1 0.224 0.776 0.750
Pr2 0.776 0.224 0.250
Al1 0.220 0.220 0.000
Al2 0.220 0.220 0.500
Al3 0.367 0.633 0.250
Al4 0.633 0.367 0.750
Al5 0.780 0.780 0.000
Al6 0.780 0.780 0.500
Ni1 0.436 0.564 0.750
Ni2 0.564 0.436 0.250
Ag1 0.152 0.848 0.250
Ag2 0.848 0.152 0.750



Record 16
# Al2ReNiAg

A geometry-optimized Al2ReNiAg structure (PBE, Alexandria).

**Total energy**: -24.630 eV per cell
**D(E_F)**: 2.608 states/eV/cell
**Volume**: 20.869 Å³/atom
**Calculated formation energy**: 787 meV/atom

Cell lengths 4.802, 4.802, 4.524 Å; angles 90.00, 90.00, 90.00 degrees
Positions (direct):
Al1 0.000 0.500 0.000
Al2 0.500 0.000 0.000
Re1 0.000 0.000 0.000
Ni1 0.000 0.000 0.500
Ag1 0.500 0.500 0.500



Record 17
# AlNiAg2Ru

A geometry-optimized AlNiAg2Ru structure (PBE, Alexandria).

**Total energy**: -19.021 eV per cell
**D(E_F)**: 4.980 states/eV/cell
**Volume**: 18.684 Å³/atom
**Calculated formation energy**: 1096 meV/atom

Cell lengths 4.661, 4.661, 4.300 Å; angles 90.00, 90.00, 90.00 degrees
Positions (direct):
Al1 0.000 0.000 0.000
Ni1 0.000 0.000 0.500
Ag1 0.000 0.500 0.000
Ag2 0.500 0.000 0.000
Ru1 0.500 0.500 0.500



Record 18
# ScAlNiAg

A geometry-optimized ScAlNiAg structure (PBE, Alexandria).

**Total energy**: -81.118 eV per cell
**D(E_F)**: 12.727 states/eV/cell
**Volume**: 16.064 Å³/atom
**Calculated formation energy**: -393 meV/atom

Cell lengths 6.358, 6.358, 6.358 Å; angles 90.00, 90.00, 90.00 degrees
Positions (direct):
Sc1 0.000 0.000 0.000
Sc2 0.000 0.500 0.500
Sc3 0.500 0.000 0.500
Sc4 0.500 0.500 0.000
Al1 0.000 0.000 0.500
Al2 0.000 0.500 0.000
Al3 0.500 0.000 0.000
Al4 0.500 0.500 0.500
Ni1 0.250 0.250 0.750
Ni2 0.250 0.750 0.250
Ni3 0.750 0.250 0.250
Ni4 0.750 0.750 0.750
Ag1 0.250 0.250 0.250
Ag2 0.250 0.750 0.750
Ag3 0.750 0.250 0.750
Ag4 0.750 0.750 0.250



Record 19
# Sc2AlNiAg

A geometry-optimized Sc2AlNiAg structure (PBE, Alexandria).

**Total energy**: -25.721 eV per cell
**D(E_F)**: 4.658 states/eV/cell
**Volume**: 20.915 Å³/atom
**Calculated formation energy**: -137 meV/atom

Cell lengths 4.839, 4.839, 4.465 Å; angles 90.00, 90.00, 90.00 degrees
Positions (direct):
Sc1 0.000 0.500 0.000
Sc2 0.500 0.000 0.000
Al1 0.000 0.000 0.500
Ni1 0.000 0.000 0.000
Ag1 0.500 0.500 0.500



Record 20
# Sr2Al12Ni3Ag

A geometry-optimized Sr2Al12Ni3Ag structure (PBE, Alexandria).

**Total energy**: -67.858 eV per cell
**D(E_F)**: 4.969 states/eV/cell
**Volume**: 23.356 Å³/atom
**Calculated formation energy**: 34 meV/atom

Cell lengths 8.090, 8.090, 8.090 Å; angles 65.66, 65.66, 65.66 degrees
Positions (direct):
Sr1 0.101 0.101 0.101
Sr2 0.899 0.899 0.899
Al1 0.130 0.618 0.618
Al2 0.225 0.225 0.576
Al3 0.225 0.576 0.225
Al4 0.382 0.382 0.870
Al5 0.382 0.870 0.382
Al6 0.424 0.775 0.775
Al7 0.576 0.225 0.225
Al8 0.618 0.130 0.618
Al9 0.618 0.618 0.130
Al10 0.775 0.424 0.775
Al11 0.775 0.775 0.424
Al12 0.870 0.382 0.382
Ni1 0.000 0.500 0.500
Ni2 0.500 0.000 0.500
Ni3 0.500 0.500 0.000
Ag1 0.500 0.500 0.500



Record 21
# Al2NiAgTe

A geometry-optimized Al2NiAgTe structure (PBE, Alexandria).

**Total energy**: -14.864 eV per cell
**D(E_F)**: 4.413 states/eV/cell
**Volume**: 25.480 Å³/atom
**Energy relative to the elements, uncorrected**: 0.879 eV per atom

Cell lengths 4.724, 4.724, 5.709 Å; angles 90.00, 90.00, 90.00 degrees
Positions (direct):
Al1 0.000 0.500 0.000
Al2 0.500 0.000 0.000
Ni1 0.000 0.000 0.500
Ag1 0.500 0.500 0.000
Te1 0.500 0.500 0.500



Record 22
# TmAl3NiAg

A geometry-optimized TmAl3NiAg structure (PBE, Alexandria).

**Total energy**: -52.339 eV per cell
**D(E_F)**: 3.327 states/eV/cell
**Volume**: 17.980 Å³/atom
**Calculated formation energy**: -306 meV/atom

Cell lengths 6.904, 6.904, 5.799 Å; angles 90.00, 90.00, 128.68 degrees
Positions (direct):
Tm1 0.218 0.782 0.750
Tm2 0.782 0.218 0.250
Al1 0.219 0.219 0.000
Al2 0.219 0.219 0.500
Al3 0.367 0.633 0.250
Al4 0.633 0.367 0.750
Al5 0.781 0.781 0.000
Al6 0.781 0.781 0.500
Ni1 0.426 0.574 0.750
Ni2 0.574 0.426 0.250
Ag1 0.156 0.844 0.250
Ag2 0.844 0.156 0.750



Record 23
# YAlNiAg

A geometry-optimized YAlNiAg structure (PBE, Alexandria).

**Total energy**: -80.357 eV per cell
**D(E_F)**: 12.916 states/eV/cell
**Volume**: 18.098 Å³/atom
**Calculated formation energy**: -312 meV/atom

Cell lengths 6.616, 6.616, 6.616 Å; angles 90.00, 90.00, 90.00 degrees
Positions (direct):
Y1 0.000 0.000 0.000
Y2 0.000 0.500 0.500
Y3 0.500 0.000 0.500
Y4 0.500 0.500 0.000
Al1 0.000 0.000 0.500
Al2 0.000 0.500 0.000
Al3 0.500 0.000 0.000
Al4 0.500 0.500 0.500
Ni1 0.250 0.250 0.250
Ni2 0.250 0.750 0.750
Ni3 0.750 0.250 0.750
Ni4 0.750 0.750 0.250
Ag1 0.250 0.250 0.750
Ag2 0.250 0.750 0.250
Ag3 0.750 0.250 0.250
Ag4 0.750 0.750 0.750



Record 24
# ZrAlNiAg

A geometry-optimized ZrAlNiAg structure (PBE, Alexandria).

**Total energy**: -88.832 eV per cell
**D(E_F)**: 8.171 states/eV/cell
**Volume**: 16.465 Å³/atom
**Calculated formation energy**: -321 meV/atom

Cell lengths 6.411, 6.411, 6.411 Å; angles 90.00, 90.00, 90.00 degrees
Positions (direct):
Zr1 0.000 0.000 0.000
Zr2 0.000 0.500 0.500
Zr3 0.500 0.000 0.500
Zr4 0.500 0.500 0.000
Al1 0.000 0.000 0.500
Al2 0.000 0.500 0.000
Al3 0.500 0.000 0.000
Al4 0.500 0.500 0.500
Ni1 0.250 0.250 0.750
Ni2 0.250 0.750 0.250
Ni3 0.750 0.250 0.250
Ni4 0.750 0.750 0.750
Ag1 0.250 0.250 0.250
Ag2 0.250 0.750 0.750
Ag3 0.750 0.250 0.750
Ag4 0.750 0.750 0.250



Record 25
# NpAl2Ag

A geometry-optimized NpAl2Ag structure (PBE, Alexandria).

**Total energy**: -69.911 eV per cell
**D(E_F)**: 11.014 states/eV/cell
**Volume**: 17.810 Å³/atom
**Calculated formation energy**: -7 meV/atom

Cell lengths 2.873, 2.873, 29.888 Å; angles 90.00, 90.00, 120.00 degrees
Positions (direct):
Np1 0.000 0.000 0.000
Np2 0.333 0.667 0.667
Np3 0.667 0.333 0.333
Al1 0.000 0.000 0.245
Al2 0.000 0.000 0.755
Al3 0.333 0.667 0.422
Al4 0.333 0.667 0.911
Al5 0.667 0.333 0.089
Al6 0.667 0.333 0.578
Ag1 0.000 0.000 0.500
Ag2 0.333 0.667 0.167
Ag3 0.667 0.333 0.833



Record 26
# NpAl2Ag

A geometry-optimized NpAl2Ag structure (PBE, Alexandria).

**Total energy**: -23.251 eV per cell
**D(E_F)**: 4.169 states/eV/cell
**Volume**: 16.998 Å³/atom
**Calculated formation energy**: 7 meV/atom

Cell lengths 2.733, 2.733, 9.103 Å; angles 90.00, 90.00, 90.00 degrees
Positions (direct):
Np1 0.000 0.000 0.000
Al1 0.500 0.500 0.260
Al2 0.500 0.500 0.740
Ag1 0.000 0.000 0.500